Record 1
This record from the Alexandria database describes crystalline Pr6NdCd3 at its relaxed geometry. The functional is PBE.

Properties
Its crystal system is orthorhombic. Its space-group type is Cmc2_1. The formation energy from the elements comes out at -99 meV/atom. The value obtained for the density of states at the Fermi level is 12.11 states/eV/f.u.

Lattice parameters (Å, degrees): 9.6838 9.6838 6.9666 90.00 90.00 94.99
Fractional coordinates of all 20 atoms:
Pr: 0.0110 0.4383 0.8645
Pr: 0.0766 0.9234 0.5000
Pr: 0.2577 0.3103 0.1927
Pr: 0.2992 0.7008 0.1892
Pr: 0.3103 0.2577 0.6927
Pr: 0.4383 0.0110 0.3645
Pr: 0.5617 0.9890 0.8645
Pr: 0.6897 0.7423 0.1927
Pr: 0.7008 0.2992 0.6892
Pr: 0.7423 0.6897 0.6927
Pr: 0.9234 0.0766 0.0000
Pr: 0.9890 0.5617 0.3645
Nd: 0.3050 0.6950 0.7046
Nd: 0.6950 0.3050 0.2046
Cd: 0.0097 0.7649 0.9708
Cd: 0.2351 0.9903 0.9708
Cd: 0.4974 0.5026 0.4440
Cd: 0.5026 0.4974 0.9440
Cd: 0.7649 0.0097 0.4708
Cd: 0.9903 0.2351 0.4708

Record 2
This record from the Alexandria database describes crystalline PrNd4Cd at its relaxed geometry. The functional is PBE.

Properties
Its crystal system is monoclinic. The energy above the most stable polymorph in this dataset is 51 kJ/mol of formula units. Its space-group type is C2/c. The formation energy from the elements comes out at -11 meV/atom. The value obtained for the density of states at the Fermi level is 8.20 states/eV/f.u.

Lattice parameters (Å, degrees): 8.5544 8.5544 6.4928 100.01 100.01 116.24
Fractional coordinates of all 12 atoms:
Pr: 0.0873 0.9127 0.7500
Pr: 0.9127 0.0873 0.2500
Nd: 0.0971 0.3365 0.8756
Nd: 0.2132 0.5929 0.4543
Nd: 0.3365 0.0971 0.3756
Nd: 0.4071 0.7868 0.0457
Nd: 0.5929 0.2132 0.9543
Nd: 0.6635 0.9029 0.6244
Nd: 0.7868 0.4071 0.5457
Nd: 0.9029 0.6635 0.1244
Cd: 0.4991 0.5009 0.7500
Cd: 0.5009 0.4991 0.2500

Record 3
This record from the Alexandria database describes crystalline PrNdCd2 at its relaxed geometry. The functional is PBE.

Properties
Its crystal system is tetragonal. The energy above the most stable polymorph in this dataset is 1 kJ/mol of formula units. Its space-group type is P4/mmm. The formation energy from the elements comes out at -319 meV/atom. The value obtained for the density of states at the Fermi level is 4.62 states/eV/f.u.

Lattice parameters (Å, degrees): 5.4619 5.4619 3.8844 90.00 90.00 90.00
Fractional coordinates of all 4 atoms:
Pr: 0.0000 0.0000 0.0000
Nd: 0.5000 0.5000 0.0000
Cd: 0.0000 0.5000 0.5000
Cd: 0.5000 0.0000 0.5000

Record 4
This record from the Alexandria database describes crystalline PrNd5Cd2 at its relaxed geometry. The functional is PBE.

Properties
Its crystal system is orthorhombic. Its space-group type is Immm. The formation energy from the elements comes out at -87 meV/atom. The value obtained for the density of states at the Fermi level is 8.63 states/eV/f.u.

Lattice parameters (Å, degrees): 8.5983 8.5983 8.5983 155.03 101.05 84.36
Fractional coordinates of all 8 atoms:
Pr: 0.0000 0.0000 0.0000
Nd: 0.1420 0.3624 0.7796
Nd: 0.4171 0.6376 0.7796
Nd: 0.5000 0.0000 0.5000
Nd: 0.5829 0.3624 0.2204
Nd: 0.8580 0.6376 0.2204
Cd: 0.2333 0.7333 0.5000
Cd: 0.7667 0.2667 0.5000